No. 1
Computed, not measured: a relaxed TlIn2Au8 crystal at the GGA-PBE level of DFT.

Calculated total energy in eV per atom: -3.148
DFT formation energy in eV per atom: -0.051
Theoretical density in g/cm³: 15.1
Total magnetization in μB per formula unit: 0.000
Calculated volume in A^3/atom: 20.07

Cell lengths 17.5754, 3.6273, 7.3450 Å; angles 90.00, 109.44, 90.00 degrees
With the nearest neighbours (Å) after each atom.
Space group C2/m (No. 12)
Asymmetric unit:
1 Tl 0.0000 0.0000 0.0000 [2 per cell]  12 Au 2.98-3.30
2 In 0.2083 0.5000 0.6604 [4 per cell]  9 Au 2.85-3.02
3 Au 0.0548 0.5000 0.7140 [4 per cell]  1 In 2.85, 7 Au 2.89-3.09, 2 Tl 3.16
4 Au 0.0801 0.0000 0.4275 [4 per cell]  6 Au 2.86-2.92, 2 In 2.95, 1 Tl 2.98
5 Au 0.1581 0.5000 0.2451 [4 per cell]  4 Au 2.86-2.90, 3 In 2.86-2.88
6 Au 0.1750 0.0000 0.9536 [4 per cell]  3 In 2.89-3.02, 6 Au 2.89-3.08, 1 Tl 3.21

***

No. 2
Computed, not measured: a relaxed LiTeF4 crystal at the GGA-PBE level of DFT.

ΔE_f (raw) in kJ/mol of formula units: -1250
Calculated total energy in eV per atom: -4.249
Theoretical density in g/cm³: 3.1
Total magnetization in μB per formula unit: 1.002
Calculated volume in A^3/atom: 19.01

Cell lengths 6.8715, 6.8715, 4.8320 Å; angles 90.00, 90.00, 90.00 degrees
With the nearest neighbours (Å) after each atom.
Space group I-4 (No. 82)
Asymmetric unit:
1 Li 0.0000 0.0000 0.0000 [2 per cell]  4 F 1.90
2 Te 0.0000 0.5000 0.7500 [2 per cell]  4 F 2.06
3 F 0.0845 0.2126 0.7776 [8 per cell]  1 Li 1.90, 1 Te 2.06

***

No. 3
Computed, not measured: a relaxed ZnPAu2 crystal at the GGA-PBE level of DFT.

Calculated total energy in eV per atom: -3.153
DFT formation energy in eV per atom: 0.156
Theoretical density in g/cm³: 12.2
Total magnetization in μB per formula unit: 0.000
Calculated volume in A^3/atom: 16.70

Cell lengths 3.9223, 3.9754, 8.5695 Å; angles 90.00, 90.00, 90.00 degrees
With the nearest neighbours (Å) after each atom.
Space group Imm2 (No. 44)
Asymmetric unit:
1 Zn 0.0000 0.0000 0.0000 [2 per cell]  8 Au 2.79-2.92, 4 P 2.90-2.92
2 P 0.0000 0.5000 0.7496 [2 per cell]  8 Au 2.79-2.94, 4 Zn 2.90-2.92
3 Au 0.0000 0.0000 0.4964 [2 per cell]  4 Zn 2.79, 4 P 2.88-2.94, 4 Au 2.91-2.92
4 Au 0.0000 0.5000 0.2476 [2 per cell]  4 P 2.79, 4 Zn 2.91-2.92, 4 Au 2.91-2.92

***

No. 4
Computed, not measured: a relaxed ErPuGePt crystal at the GGA-PBE level of DFT.

Calculated total energy in eV per atom: -8.104
DFT formation energy in eV per atom: -0.716
Theoretical density in g/cm³: 12.8
Total magnetization in μB per formula unit: 5.206
Calculated volume in A^3/atom: 22.10

Cell lengths 7.0715, 7.0715, 7.0715 Å; angles 90.00, 90.00, 90.00 degrees
With the nearest neighbours (Å) after each atom.
Space group F-43m (No. 216)
Asymmetric unit:
1 Er 0.0000 0.0000 0.0000 [4 per cell]  4 Ge 3.06, 4 Pt 3.06
2 Pu 0.0000 0.0000 0.5000 [4 per cell]  4 Ge 3.06, 4 Pt 3.06
3 Ge 0.2500 0.2500 0.7500 [4 per cell]  4 Er 3.06, 4 Pu 3.06
4 Pt 0.2500 0.2500 0.2500 [4 per cell]  4 Pu 3.06, 4 Er 3.06

***

No. 5
Computed, not measured: a relaxed ErPaInTc crystal at the GGA-PBE level of DFT.

Calculated total energy in eV per atom: -7.079
DFT formation energy in eV per atom: -0.288
Theoretical density in g/cm³: 10.9
Total magnetization in μB per formula unit: 0.000
Calculated volume in A^3/atom: 23.26

Cell lengths 3.3466, 3.3466, 8.3081 Å; angles 90.00, 90.00, 90.00 degrees
With the nearest neighbours (Å) after each atom.
Space group P4mm (No. 99)
Asymmetric unit:
1 Er 0.0000 0.0000 0.0000 [1 per cell]  4 Tc 2.98
2 Pa 0.0000 0.0000 0.5863 [1 per cell]  4 Tc 2.87
3 In 0.5000 0.5000 0.2868 [1 per cell]  4 In 3.35, 4 Er 3.36, 4 Pa 3.43
4 Tc 0.5000 0.5000 0.7821 [1 per cell]  4 Pa 2.87, 4 Er 2.98

***

No. 6
Computed, not measured: a relaxed Pr12Ho5Tm crystal at the GGA-PBE level of DFT.

Calculated total energy in eV per atom: -4.682
DFT formation energy in eV per atom: 0.024
Theoretical density in g/cm³: 7.2
Total magnetization in μB per formula unit: 0.002
Calculated volume in A^3/atom: 34.46

Cell lengths 15.4233, 15.5306, 5.1796 Å; angles 90.00, 90.00, 90.00 degrees
With the nearest neighbours (Å) after each atom.
Space group Cmmm (No. 65)
Asymmetric unit:
1 Pr 0.1639 0.0000 0.0000 [4 per cell]  2 Ho 3.62, 2 Tm 3.62, 8 Pr 3.66-3.70
2 Pr 0.1642 0.1666 0.5000 [8 per cell]  1 Tm 3.62, 3 Ho 3.62, 8 Pr 3.66-3.70
3 Pr 0.1646 0.3334 0.0000 [8 per cell]  4 Ho 3.63, 8 Pr 3.66-3.70
4 Pr 0.1649 0.5000 0.5000 [4 per cell]  4 Ho 3.63, 8 Pr 3.66-3.70
5 Ho 0.0000 0.1667 0.0000 [4 per cell]  8 Pr 3.62-3.63, 2 Tm 3.66, 2 Ho 3.66
6 Ho 0.0000 0.3336 0.5000 [4 per cell]  8 Pr 3.62-3.63, 4 Ho 3.66
7 Ho 0.0000 0.5000 0.0000 [2 per cell]  8 Pr 3.63, 4 Ho 3.66
8 Tm 0.0000 0.0000 0.5000 [2 per cell]  8 Pr 3.62, 4 Ho 3.66

***

No. 7
Computed, not measured: a relaxed PrSiF crystal at the GGA-PBE level of DFT.

ΔE_f (raw) in kJ/mol of formula units: -625
Calculated total energy in eV per atom: -6.183
Theoretical density in g/cm³: 5.5
Total magnetization in μB per formula unit: 0.000
Calculated volume in A^3/atom: 18.78

Cell lengths 4.0714, 14.1598, 3.9089 Å; angles 90.00, 90.00, 90.00 degrees
With the nearest neighbours (Å) after each atom.
Space group Cmcm (No. 63)
Asymmetric unit:
1 Pr 0.0000 0.1357 0.2500 [4 per cell]  4 F 2.56-2.59
2 Si 0.0000 0.4533 0.2500 [4 per cell]  2 Si 2.36
3 F 0.0000 0.2552 0.7500 [4 per cell]  4 Pr 2.56-2.59, 4 F 2.83

***

No. 8
Computed, not measured: a relaxed NaCuAu2Se4 crystal at the GGA-PBE level of DFT.

ΔE_f (raw) in kJ/mol of formula units: -124
Calculated total energy in eV per atom: -3.399
Theoretical density in g/cm³: 5.5
Total magnetization in μB per formula unit: 0.000
Calculated volume in A^3/atom: 30.20

Cell lengths 5.8873, 8.7808, 9.3473 Å; angles 90.00, 90.00, 90.00 degrees
With the nearest neighbours (Å) after each atom.
Space group I222 (No. 23)
Asymmetric unit:
1 Na 0.0000 0.0000 0.0000 [2 per cell]  4 Se 2.95
2 Cu 0.0000 0.0000 0.5000 [2 per cell]  4 Se 2.40
3 Au 0.0000 0.5000 0.2192 [4 per cell]  2 Se 2.44
4 Se 0.1262 0.1210 0.2840 [8 per cell]  1 Cu 2.40, 1 Au 2.44, 1 Se 2.59

***

No. 9
Computed, not measured: a relaxed Ta2Fe2Pt crystal at the GGA-PBE level of DFT.

Calculated total energy in eV per atom: -9.265
DFT formation energy in eV per atom: 0.069
Theoretical density in g/cm³: 14.4
Total magnetization in μB per formula unit: 1.936
Calculated volume in A^3/atom: 15.42

Cell lengths 3.1114, 3.1114, 15.9315 Å; angles 90.00, 90.00, 90.00 degrees
With the nearest neighbours (Å) after each atom.
Space group I4/mmm (No. 139)
Asymmetric unit:
1 Ta 0.0000 0.0000 0.1150 [4 per cell]  4 Fe 2.65, 4 Pt 2.86
2 Fe 0.0000 0.5000 0.2500 [4 per cell]  4 Fe 2.20
3 Pt 0.0000 0.0000 0.5000 [2 per cell]  8 Ta 2.86, 4 Pt 3.11

***

No. 10
Computed, not measured: a relaxed Dy2ZrGe3Pt4 crystal at the GGA-PBE level of DFT.

Calculated total energy in eV per atom: -6.515
DFT formation energy in eV per atom: -0.938
Theoretical density in g/cm³: 12.1
Total magnetization in μB per formula unit: 0.000
Calculated volume in A^3/atom: 19.47

Cell lengths 4.1522, 4.1522, 11.2922 Å; angles 90.00, 90.00, 90.00 degrees
With the nearest neighbours (Å) after each atom.
Space group P-4m2 (No. 115)
Asymmetric unit:
1 Dy 0.0000 0.5000 0.2240 [2 per cell]  4 Ge 3.11, 8 Pt 3.26-3.27
2 Zr 0.0000 0.0000 0.5000 [1 per cell]  4 Pt 2.68, 4 Ge 2.94
3 Ge 0.0000 0.5000 0.8659 [2 per cell]  5 Pt 2.43-2.57
4 Ge 0.5000 0.5000 0.5000 [1 per cell]  4 Pt 2.68, 4 Zr 2.94
5 Pt 0.0000 0.0000 0.0000 [1 per cell]  4 Ge 2.57
6 Pt 0.0000 0.5000 0.6504 [2 per cell]  3 Ge 2.43-2.68, 2 Zr 2.68
7 Pt 0.5000 0.5000 0.0000 [1 per cell]  4 Ge 2.57

***

No. 11
Computed, not measured: a relaxed TaAs2WSe crystal at the GGA-PBE level of DFT.

ΔE_f (raw) in kJ/mol of formula units: 570
Calculated total energy in eV per atom: -6.336
Theoretical density in g/cm³: 8.1
Total magnetization in μB per formula unit: 3.606
Calculated volume in A^3/atom: 24.48

Cell lengths 4.9896, 4.9896, 4.9165 Å; angles 90.00, 90.00, 90.00 degrees
With the nearest neighbours (Å) after each atom.
Space group P4/mmm (No. 123)
Asymmetric unit:
1 Ta 0.0000 0.0000 0.0000 [1 per cell]  2 Se 2.46, 4 As 2.49
2 As 0.0000 0.5000 0.0000 [2 per cell]  2 Ta 2.49
3 W 0.5000 0.5000 0.5000 [1 per cell]  8 As 3.50, 4 Se 3.53
4 Se 0.0000 0.0000 0.5000 [1 per cell]  2 Ta 2.46

***

No. 12
Computed, not measured: a relaxed Pr2Nd2Tm3 crystal at the GGA-PBE level of DFT.

Calculated total energy in eV per atom: -4.526
DFT formation energy in eV per atom: 0.118
Theoretical density in g/cm³: 7.7
Total magnetization in μB per formula unit: 0.000
Calculated volume in A^3/atom: 33.27

Cell lengths 9.5522, 6.0000, 9.1859 Å; angles 90.00, 117.78, 90.00 degrees
With the nearest neighbours (Å) after each atom.
Space group C2/m (No. 12)
Asymmetric unit:
1 Pr 0.2141 0.0000 0.1407 [4 per cell]  5 Tm 3.51-3.69, 4 Nd 3.53-3.58, 1 Pr 3.68
2 Nd 0.0706 0.0000 0.7083 [4 per cell]  1 Nd 3.41, 5 Tm 3.51-3.71, 4 Pr 3.53-3.58
3 Tm 0.0000 0.5000 0.0000 [2 per cell]  6 Pr 3.52, 2 Tm 3.53, 2 Nd 3.71
4 Tm 0.1416 0.5000 0.4306 [4 per cell]  4 Tm 3.49-3.53, 4 Nd 3.51-3.68, 2 Pr 3.51-3.69

***

No. 13
Computed, not measured: a relaxed PbSe2O5 crystal at the GGA-PBE level of DFT.

ΔE_f (raw) in kJ/mol of formula units: -718
Calculated total energy in eV per atom: -5.364
Theoretical density in g/cm³: 5.3
Total magnetization in μB per formula unit: 0.000
Calculated volume in A^3/atom: 17.55

Cell lengths 4.6909, 9.7519, 13.0971 Å; angles 90.00, 110.39, 90.00 degrees
With the nearest neighbours (Å) after each atom.
Space group P2_1/c (No. 14)
Asymmetric unit:
1 Pb 0.1770 0.0385 0.3504 [4 per cell]  5 O 2.45-2.64
2 Se 0.3003 0.2468 0.6060 [4 per cell]  3 O 1.69-1.87
3 Se 0.3008 0.6489 0.5882 [4 per cell]  2 O 1.69-1.70
4 O 0.0056 0.7187 0.8574 [4 per cell]  1 Se 1.69
5 O 0.1295 0.1648 0.9720 [4 per cell]  2 Se 1.87-1.90
6 O 0.3178 0.5397 0.6900 [4 per cell]  1 Se 1.69
7 O 0.3550 0.0884 0.5549 [4 per cell]  1 Se 1.74
8 O 0.3852 0.6946 0.1477 [4 per cell]  1 Se 1.70

***

No. 14
Computed, not measured: a relaxed CaMnCr3 crystal at the GGA-PBE level of DFT.

Calculated total energy in eV per atom: -7.210
DFT formation energy in eV per atom: 0.799
Theoretical density in g/cm³: 4.4
Total magnetization in μB per formula unit: 7.489
Calculated volume in A^3/atom: 18.77

Cell lengths 4.5443, 4.5443, 4.5443 Å; angles 90.00, 90.00, 90.00 degrees
With the nearest neighbours (Å) after each atom.
Space group Pm-3m (No. 221)
Asymmetric unit:
1 Ca 0.0000 0.0000 0.0000 [1 per cell]  12 Cr 3.21
2 Mn 0.5000 0.5000 0.5000 [1 per cell]  6 Cr 2.27
3 Cr 0.0000 0.5000 0.5000 [3 per cell]  2 Mn 2.27

***

No. 15
Computed, not measured: a relaxed Rb2BeBr6O crystal at the GGA-PBE level of DFT.

ΔE_f (raw) in kJ/mol of formula units: -644
Calculated total energy in eV per atom: -2.734
Theoretical density in g/cm³: 3.5
Total magnetization in μB per formula unit: 2.000
Calculated volume in A^3/atom: 32.25

Cell lengths 8.0698, 8.0698, 9.9038 Å; angles 90.00, 90.00, 90.00 degrees
With the nearest neighbours (Å) after each atom.
Space group I4/mmm (No. 139)
Asymmetric unit:
1 Rb 0.0000 0.5000 0.2500 [4 per cell]  12 Br 3.82-4.05
2 Be 0.0000 0.0000 0.0000 [2 per cell]  4 Br 2.32
3 Br 0.0000 0.0000 0.2906 [4 per cell]  1 O 2.07
4 Br 0.2033 0.2033 0.0000 [8 per cell]  1 Be 2.32
5 O 0.0000 0.0000 0.5000 [2 per cell]  2 Br 2.07

***

No. 16
Computed, not measured: a relaxed Tm3Cd2In crystal at the GGA-PBE level of DFT.

Calculated total energy in eV per atom: -3.354
DFT formation energy in eV per atom: -0.357
Theoretical density in g/cm³: 9.2
Total magnetization in μB per formula unit: 0.000
Calculated volume in A^3/atom: 25.38

Cell lengths 5.2435, 15.7407, 3.6896 Å; angles 90.00, 90.00, 90.00 degrees
With the nearest neighbours (Å) after each atom.
Space group Cmmm (No. 65)
Asymmetric unit:
1 Tm 0.0000 0.0000 0.0000 [2 per cell]  4 In 3.21, 4 Cd 3.24
2 Tm 0.0000 0.3324 0.0000 [4 per cell]  6 Cd 3.17-3.21, 2 In 3.22
3 Cd 0.0000 0.1689 0.5000 [4 per cell]  8 Tm 3.17-3.24
4 In 0.0000 0.5000 0.5000 [2 per cell]  8 Tm 3.21-3.22

***

No. 17
Computed, not measured: a relaxed Ca2ZnH6Ru crystal at the GGA-PBE level of DFT.

Calculated total energy in eV per atom: -3.767
Theoretical density in g/cm³: 3.7
Total magnetization in μB per formula unit: 0.000
Calculated volume in A^3/atom: 11.26

Cell lengths 5.1342, 5.1342, 4.9338 Å; angles 90.00, 90.00, 120.00 degrees
With the nearest neighbours (Å) after each atom.
Space group P-3m1 (No. 164)
Asymmetric unit:
1 Ca 0.3333 0.6667 0.2841 [2 per cell]  9 H 2.57
2 Zn 0.0000 0.0000 0.0000 [1 per cell]  6 H 2.06
3 H 0.1640 0.3279 0.7051 [6 per cell]  1 Ru 1.77
4 Ru 0.0000 0.0000 0.5000 [1 per cell]  6 H 1.77

***

No. 18
Computed, not measured: a relaxed Mo3AuBr crystal at the GGA-PBE level of DFT.

ΔE_f (raw) in kJ/mol of formula units: 739
Calculated total energy in eV per atom: -5.956
Theoretical density in g/cm³: 9.7
Total magnetization in μB per formula unit: 0.000
Calculated volume in A^3/atom: 19.31

Cell lengths 4.5874, 4.5874, 4.5874 Å; angles 90.00, 90.00, 90.00 degrees
With the nearest neighbours (Å) after each atom.
Space group Pm-3m (No. 221)
Asymmetric unit:
1 Mo 0.0000 0.0000 0.5000 [3 per cell]  2 Br 2.29
2 Au 0.5000 0.5000 0.5000 [1 per cell]  12 Mo 3.24
3 Br 0.0000 0.0000 0.0000 [1 per cell]  6 Mo 2.29

***

No. 19
Computed, not measured: a relaxed Mn2RhBr crystal at the GGA-PBE level of DFT.

ΔE_f (raw) in kJ/mol of formula units: 107
Calculated total energy in eV per atom: -6.564
Theoretical density in g/cm³: 5.3
Total magnetization in μB per formula unit: 8.736
Calculated volume in A^3/atom: 22.73

Cell lengths 8.8995, 3.1494, 6.5602 Å; angles 90.00, 98.56, 90.00 degrees
With the nearest neighbours (Å) after each atom.
Space group Cm (No. 8)
Asymmetric unit:
1 Mn 0.0000 0.0000 0.0000 [2 per cell]  2 Br 2.53, 2 Rh 2.55
2 Mn 0.2504 0.0000 0.7672 [2 per cell]  3 Rh 2.52-2.56
3 Rh 0.0216 0.5000 0.7001 [2 per cell]  5 Mn 2.52-2.56, 1 Br 2.62
4 Br 0.4807 0.0000 0.2969 [2 per cell]  2 Mn 2.53, 1 Rh 2.62

***

No. 20
Computed, not measured: a relaxed RbAg4Se3 crystal at the GGA-PBE level of DFT.

ΔE_f (raw) in kJ/mol of formula units: -240
Calculated total energy in eV per atom: -3.165
Theoretical density in g/cm³: 6.2
Total magnetization in μB per formula unit: 0.000
Calculated volume in A^3/atom: 25.29

Cell lengths 4.4253, 4.4253, 10.3322 Å; angles 90.00, 90.00, 90.00 degrees
With the nearest neighbours (Å) after each atom.
Space group P4/mmm (No. 123)
Asymmetric unit:
1 Rb 0.0000 0.0000 0.0000 [1 per cell]  8 Se 3.66, 8 Ag 4.07
2 Ag 0.0000 0.5000 0.3300 [4 per cell]  4 Se 2.68-2.82
3 Se 0.0000 0.0000 0.5000 [1 per cell]  8 Ag 2.82
4 Se 0.5000 0.5000 0.1836 [2 per cell]  4 Ag 2.68